Below is a relaxed NdHoPt3 crystal, with properties calculated at the PBE level.

Structure (POSCAR):
```
NdHoPt3
1.0
4.2720 0.0000 0.0000
0.0000 3.8689 0.0000
0.0000 -1.9345 13.5054
Nd Pt Ho
2 6 2
Direct
0.2500 0.0743 0.1487 Nd
0.7500 0.9257 0.8513 Nd
0.2500 0.3750 0.7500 Pt
0.7500 0.5283 0.0567 Pt
0.7500 0.6250 0.2500 Pt
0.2500 0.6872 0.3744 Pt
0.7500 0.3128 0.6256 Pt
0.2500 0.4717 0.9433 Pt
0.7500 0.2070 0.4141 Ho
0.2500 0.7930 0.5859 Ho
```

Summary:
As for the symmetry: Cmcm (63). The value obtained for the total energy is -6.603 eV per atom. The formation energy comes out at -1.109 eV/atom. Its density of states at the Fermi level is 6.78 states/eV per cell. As for the density: 13.308 g/cm3.